1.
Here is AcGa2Pd4Pt after structural relaxation from the Alexandria database. Energies are from GGA-PBE.

Unit cell a=9.3998 b=9.3998 c=9.3998 alpha=26.91 beta=26.91 gamma=26.91
Closest atoms and distances in Å follow each position.
Sites, in units of the cell vectors:
Ac: 0.0000 0.0000 0.0000  8 Pd 3.11-3.25
Ga: 0.2227 0.2227 0.2227  7 Pd 2.54-2.80
Ga: 0.7773 0.7773 0.7773  7 Pd 2.54-2.80
Pd: 0.1196 0.1196 0.1196  4 Ga 2.54-2.80, 3 Pt 2.83
Pd: 0.4002 0.4002 0.4002  1 Pt 2.71, 3 Ga 2.79, 3 Pd 2.90
Pd: 0.5998 0.5998 0.5998  1 Pt 2.71, 3 Ga 2.79, 3 Pd 2.90
Pd: 0.8804 0.8804 0.8804  4 Ga 2.54-2.80, 3 Pt 2.83
Pt: 0.5000 0.5000 0.5000  8 Pd 2.71-2.83, 6 Ga 2.95

Summary:
Space-group type = R-3m, No. 166
Magnetic moment = 0.00 μB/cell


2.
Here is AcGa4Pd2Pt after structural relaxation from the Alexandria database. Energies are from GGA-PBE.

Unit cell a=9.6589 b=9.6589 c=9.6589 alpha=26.08 beta=26.08 gamma=26.08
Closest atoms and distances in Å follow each position.
Sites, in units of the cell vectors:
Ac: 0.0000 0.0000 0.0000  6 Ga 3.22
Ga: 0.1329 0.1329 0.1329  4 Pd 2.68-2.82, 3 Pt 2.69
Ga: 0.4053 0.4053 0.4053  3 Pd 2.63, 1 Pt 2.65
Ga: 0.5947 0.5947 0.5947  3 Pd 2.63, 1 Pt 2.65
Ga: 0.8671 0.8671 0.8671  4 Pd 2.68-2.82, 3 Pt 2.69
Pd: 0.2336 0.2336 0.2336  7 Ga 2.63-2.82
Pd: 0.7664 0.7664 0.7664  7 Ga 2.63-2.82
Pt: 0.5000 0.5000 0.5000  8 Ga 2.65-2.69

Summary:
Space-group type = R-3m, No. 166
Magnetic moment = 0.00 μB/cell


3.
Here is Ac2Ga4PdPt3 after structural relaxation from the Alexandria database. Energies are from GGA-PBE.

Unit cell a=4.4917 b=4.4917 c=10.3002 alpha=90.00 beta=90.00 gamma=90.00
Closest atoms and distances in Å follow each position.
Sites, in units of the cell vectors:
Ac: 0.0000 0.5000 0.2479  8 Ga 3.40-3.45, 6 Pt 3.40-3.43, 2 Pd 3.43
Ac: 0.5000 0.0000 0.7521  8 Ga 3.40-3.45, 6 Pt 3.40-3.43, 2 Pd 3.43
Ga: 0.0000 0.0000 0.0000  4 Pt 2.61
Ga: 0.0000 0.5000 0.6219  3 Pt 2.56-2.57, 2 Pd 2.57
Ga: 0.5000 0.0000 0.3781  3 Pt 2.56-2.57, 2 Pd 2.57
Ga: 0.5000 0.5000 0.0000  4 Pt 2.61
Pd: 0.0000 0.0000 0.5000  4 Ga 2.57
Pt: 0.0000 0.5000 0.8709  5 Ga 2.56-2.61
Pt: 0.5000 0.0000 0.1291  5 Ga 2.56-2.61
Pt: 0.5000 0.5000 0.5000  4 Ga 2.57

Summary:
Space-group type = P-4m2, No. 115
Magnetic moment = 0.00 μB/cell


Respective DOS at the Fermi energy values: 0.55, 0.39, 0.88 states/eV/atom.
Respective DFT formation energy values: -4.92, -5.18, -9.49 eV/f.u..
Respective E_tot values: -41.9, -37.8, -53.1 eV per formula unit.